1.
Entry from the Open Quantum Materials Database: a geometry-optimized CuBr2 structure (PBE).

Output
Calculated total energy ... -2.57 eV/atom

Geometry as CIF:
```
data_CuBr2
_chemical_formula_sum 'Cu2 Br4'
_cell_length_a 3.639
_cell_length_b 3.639
_cell_length_c 13.923
_cell_angle_alpha 90.00
_cell_angle_beta 90.00
_cell_angle_gamma 115.36
_symmetry_space_group_name_H-M 'P 1'
_symmetry_Int_Tables_number 1
_symmetry_space_group_name_Hall 'P 1'
loop_
_atom_site_label
_atom_site_type_symbol
_atom_site_fract_x
_atom_site_fract_y
_atom_site_fract_z
Br1 Br 0.979 0.021 0.016
Br2 Br 0.348 0.652 0.225
Br3 Br 0.021 0.979 0.516
Br4 Br 0.652 0.348 0.725
Cu1 Cu 0.663 0.337 0.120
Cu2 Cu 0.337 0.663 0.620
```

=====

2.
Entry from the Open Quantum Materials Database: a geometry-optimized Cu2Br3 structure (PBE).

Output
Calculated total energy ... -2.81 eV/atom

Geometry as CIF:
```
data_Cu2Br3
_chemical_formula_sum 'Cu2 Br3'
_cell_length_a 6.911
_cell_length_b 6.911
_cell_length_c 6.911
_cell_angle_alpha 147.12
_cell_angle_beta 60.16
_cell_angle_gamma 131.13
_symmetry_space_group_name_H-M 'P 1'
_symmetry_Int_Tables_number 1
_symmetry_space_group_name_Hall 'P 1'
loop_
_atom_site_label
_atom_site_type_symbol
_atom_site_fract_x
_atom_site_fract_y
_atom_site_fract_z
Br1 Br 0.482 0.482 0.000
Br2 Br 0.820 0.491 0.329
Br3 Br 0.162 0.491 0.671
Cu1 Cu 0.403 0.242 0.161
Cu2 Cu 0.082 0.242 0.839
```

=====

3.
Entry from the Open Quantum Materials Database: a geometry-optimized CuBr2 structure (PBE).

Output
Calculated total energy ... -2.47 eV/atom

Geometry as CIF:
```
data_CuBr2
_chemical_formula_sum 'Cu2 Br4'
_cell_length_a 7.706
_cell_length_b 7.706
_cell_length_c 7.706
_cell_angle_alpha 60.00
_cell_angle_beta 60.00
_cell_angle_gamma 60.00
_symmetry_space_group_name_H-M 'P 1'
_symmetry_Int_Tables_number 1
_symmetry_space_group_name_Hall 'P 1'
loop_
_atom_site_label
_atom_site_type_symbol
_atom_site_fract_x
_atom_site_fract_y
_atom_site_fract_z
Br1 Br 0.375 0.375 0.375
Br2 Br 0.375 0.875 0.375
Br3 Br 0.875 0.375 0.375
Br4 Br 0.375 0.375 0.875
Cu1 Cu 0.250 0.250 0.250
Cu2 Cu 0.500 0.500 0.500
```

=====

4.
Entry from the Open Quantum Materials Database: a geometry-optimized CuBr7 structure (PBE).

Output
Calculated total energy ... -1.97 eV/atom

Geometry as CIF:
```
data_CuBr7
_chemical_formula_sum 'Cu2 Br14'
_cell_length_a 8.193
_cell_length_b 8.319
_cell_length_c 9.533
_cell_angle_alpha 98.07
_cell_angle_beta 96.79
_cell_angle_gamma 116.98
_symmetry_space_group_name_H-M 'P 1'
_symmetry_Int_Tables_number 1
_symmetry_space_group_name_Hall 'P 1'
loop_
_atom_site_label
_atom_site_type_symbol
_atom_site_fract_x
_atom_site_fract_y
_atom_site_fract_z
Br1 Br 0.251 0.257 0.006
Br2 Br 0.239 0.784 0.106
Br3 Br 0.719 0.232 0.152
Br4 Br 0.777 0.784 0.267
Br5 Br 0.287 0.316 0.296
Br6 Br 0.073 0.778 0.414
Br7 Br 0.654 0.226 0.430
Br8 Br 0.346 0.774 0.570
Br9 Br 0.927 0.222 0.586
Br10 Br 0.714 0.685 0.704
Br11 Br 0.223 0.216 0.733
Br12 Br 0.281 0.768 0.848
Br13 Br 0.761 0.216 0.894
Br14 Br 0.749 0.743 0.994
Cu1 Cu 0.381 0.114 0.183
Cu2 Cu 0.619 0.886 0.817
```

=====

5.
Entry from the Open Quantum Materials Database: a geometry-optimized Cu3Br4 structure (PBE).

Output
Calculated total energy ... -2.88 eV/atom

Geometry as CIF:
```
data_Cu3Br4
_chemical_formula_sum 'Cu3 Br4'
_cell_length_a 5.611
_cell_length_b 5.611
_cell_length_c 5.645
_cell_angle_alpha 90.00
_cell_angle_beta 90.00
_cell_angle_gamma 90.00
_symmetry_space_group_name_H-M 'P 1'
_symmetry_Int_Tables_number 1
_symmetry_space_group_name_Hall 'P 1'
loop_
_atom_site_label
_atom_site_type_symbol
_atom_site_fract_x
_atom_site_fract_y
_atom_site_fract_z
Br1 Br 0.748 0.252 0.248
Br2 Br 0.252 0.748 0.248
Br3 Br 0.252 0.252 0.752
Br4 Br 0.748 0.748 0.752
Cu1 Cu 0.000 0.000 0.000
Cu2 Cu 0.500 0.000 0.500
Cu3 Cu 0.000 0.500 0.500
```

=====

6.
Entry from the Open Quantum Materials Database: a geometry-optimized CuBr2 structure (PBE).

Output
Calculated total energy ... -2.58 eV/atom

Geometry as CIF:
```
data_CuBr2
_chemical_formula_sum 'Cu4 Br8'
_cell_length_a 6.496
_cell_length_b 7.823
_cell_length_c 6.348
_cell_angle_alpha 90.00
_cell_angle_beta 90.00
_cell_angle_gamma 90.00
_symmetry_space_group_name_H-M 'P 1'
_symmetry_Int_Tables_number 1
_symmetry_space_group_name_Hall 'P 1'
loop_
_atom_site_label
_atom_site_type_symbol
_atom_site_fract_x
_atom_site_fract_y
_atom_site_fract_z
Br1 Br 0.578 0.123 0.006
Br2 Br 0.078 0.377 0.006
Br3 Br 0.927 0.131 0.497
Br4 Br 0.427 0.369 0.497
Br5 Br 0.922 0.623 0.506
Br6 Br 0.422 0.877 0.506
Br7 Br 0.573 0.631 0.997
Br8 Br 0.073 0.869 0.997
Cu1 Cu 0.581 0.625 0.370
Cu2 Cu 0.081 0.875 0.370
Cu3 Cu 0.919 0.125 0.870
Cu4 Cu 0.419 0.375 0.870
```